1.
CrSiI2 | SCAN | PBEsol geometry

Summary:
For the total magnetization, the calculation gives 4.61 μB/f.u. The total energy is -24.79 eV per atom. The calculation puts the energy relative to the elements, uncorrected at 0.6812 eV per atom.

a = 5.122 Å, b = 5.122 Å, c = 5.122 Å
α = 60.00°, β = 60.00°, γ = 60.00°
Element x y z (fractional)
I1 0.250 0.250 0.250
I2 0.750 0.750 0.750
Si1 0.000 0.000 0.000
Cr1 0.500 0.500 0.500

---

2.
SrCr2SiI | SCAN | PBEsol geometry

Summary:
For the total magnetization, the calculation gives 10.01 μB/f.u. The total energy is -19.62 eV per atom. The calculation puts the energy relative to the elements, uncorrected at 1.5401 eV per atom.

a = 5.539 Å, b = 5.830 Å, c = 5.830 Å
α = 90.00°, β = 90.00°, γ = 90.00°
Element x y z (fractional)
Cr1 0.000 0.500 0.000
Cr2 0.000 0.000 0.500
Si1 0.500 0.000 0.000
I1 0.500 0.500 0.500
Sr1 0.000 0.000 0.000

---

3.
CrSn2I | SCAN | PBEsol geometry

Summary:
For the total magnetization, the calculation gives 4.83 μB/f.u. The total energy is -31.11 eV per atom. The calculation puts the energy relative to the elements, uncorrected at 0.6287 eV per atom.

a = 5.250 Å, b = 5.250 Å, c = 5.250 Å
α = 60.00°, β = 60.00°, γ = 60.00°
Element x y z (fractional)
Sn1 0.250 0.250 0.250
Sn2 0.750 0.750 0.750
Cr1 0.000 0.000 0.000
I1 0.500 0.500 0.500

---

4.
SrCr2WI | SCAN | PBEsol geometry

Summary:
For the total magnetization, the calculation gives 13.84 μB/f.u. The total energy is -31.27 eV per atom. The calculation puts the energy relative to the elements, uncorrected at 1.8231 eV per atom.

a = 5.079 Å, b = 5.079 Å, c = 5.975 Å
α = 90.00°, β = 90.00°, γ = 90.00°
Element x y z (fractional)
Cr1 0.500 0.000 0.000
Cr2 0.000 0.500 0.000
W1 0.500 0.500 0.500
I1 0.000 0.000 0.000
Sr1 0.000 0.000 0.500

---

5.
YCrTe2I | SCAN | PBEsol geometry

Summary:
For the total magnetization, the calculation gives 0.00 μB/f.u. The total energy is -31.64 eV per atom. The calculation puts the energy relative to the elements, uncorrected at -0.1498 eV per atom.

a = 4.876 Å, b = 4.876 Å, c = 5.714 Å
α = 90.00°, β = 90.00°, γ = 90.00°
Element x y z (fractional)
I1 0.500 0.500 0.500
Te1 0.500 0.000 0.000
Te2 0.000 0.500 0.000
Cr1 0.000 0.000 0.000
Y1 0.000 0.000 0.500

---

6.
ZnCrTe2I | SCAN | PBEsol geometry

Summary:
For the total magnetization, the calculation gives 1.37 μB/f.u. The total energy is -28.33 eV per atom. The calculation puts the energy relative to the elements, uncorrected at 0.2993 eV per atom.

a = 5.086 Å, b = 5.086 Å, c = 5.535 Å
α = 90.00°, β = 90.00°, γ = 90.00°
Element x y z (fractional)
Te1 0.000 0.500 0.000
Te2 0.500 0.000 0.000
Cr1 0.000 0.000 0.000
Zn1 0.500 0.500 0.500
I1 0.000 0.000 0.500

---

7.
CrW2I2 | SCAN | PBEsol geometry

Summary:
For the total magnetization, the calculation gives 4.23 μB/f.u. The total energy is -44.73 eV per atom. The calculation puts the energy relative to the elements, uncorrected at 1.5220 eV per atom.

a = 5.191 Å, b = 5.191 Å, c = 5.548 Å
α = 117.89°, β = 117.89°, γ = 90.00°
Element x y z (fractional)
W1 0.360 0.360 0.720
W2 0.640 0.640 0.280
Cr1 0.000 0.000 0.000
I1 0.250 0.750 0.500
I2 0.750 0.250 0.500

---

8.
Y2CrI | SCAN | PBEsol geometry

Summary:
For the total magnetization, the calculation gives 4.11 μB/f.u. The total energy is -27.69 eV per atom. The calculation puts the energy relative to the elements, uncorrected at 0.0102 eV per atom.

a = 5.242 Å, b = 5.242 Å, c = 5.242 Å
α = 60.00°, β = 60.00°, γ = 60.00°
Element x y z (fractional)
Y1 0.750 0.750 0.750
Y2 0.250 0.250 0.250
I1 0.500 0.500 0.500
Cr1 0.000 0.000 0.000

---

9.
YCr2I | SCAN | PBEsol geometry

Summary:
For the total magnetization, the calculation gives 3.04 μB/f.u. The total energy is -24.43 eV per atom. The calculation puts the energy relative to the elements, uncorrected at 0.9111 eV per atom.

a = 4.561 Å, b = 4.561 Å, c = 4.561 Å
α = 60.00°, β = 60.00°, γ = 60.00°
Element x y z (fractional)
I1 0.500 0.500 0.500
Cr1 0.750 0.750 0.750
Cr2 0.250 0.250 0.250
Y1 0.000 0.000 0.000

---

10.
ZnCr2I2 | SCAN | PBEsol geometry

Summary:
For the total magnetization, the calculation gives 0.00 μB/f.u. The total energy is -23.96 eV per atom. The calculation puts the energy relative to the elements, uncorrected at 0.7929 eV per atom.

a = 5.310 Å, b = 5.310 Å, c = 5.310 Å
α = 89.20°, β = 60.46°, γ = 119.54°
Element x y z (fractional)
Cr1 0.000 0.617 0.383
Cr2 0.000 0.383 0.617
I1 0.500 0.250 0.250
I2 0.500 0.750 0.750
Zn1 0.000 0.000 0.000

---

11.
ZrCr3I | SCAN | PBEsol geometry

Summary:
For the total magnetization, the calculation gives 11.04 μB/f.u. The total energy is -23.02 eV per atom. The calculation puts the energy relative to the elements, uncorrected at 1.5022 eV per atom.

a = 4.869 Å, b = 4.869 Å, c = 4.869 Å
α = 90.00°, β = 90.00°, γ = 90.00°
Element x y z (fractional)
Cr1 0.000 0.500 0.000
Cr2 0.500 0.000 0.000
Cr3 0.000 0.000 0.500
I1 0.500 0.500 0.500
Zr1 0.000 0.000 0.000

---

12.
CrInIr4 | SCAN | PBEsol geometry

Summary:
For the total magnetization, the calculation gives 3.61 μB/f.u. The formation energy is 4.42 kcal/mol of atoms. The total energy is -55.84 eV per atom.

a = 5.151 Å, b = 5.151 Å, c = 5.151 Å
α = 60.00°, β = 60.00°, γ = 60.00°
Element x y z (fractional)
Ir1 0.874 0.375 0.375
Ir2 0.375 0.874 0.375
Ir3 0.375 0.375 0.874
Ir4 0.375 0.375 0.375
Cr1 0.750 0.750 0.750
In1 0.000 0.000 0.000

---

13.
Cr2InIr | SCAN | PBEsol geometry

Summary:
For the total magnetization, the calculation gives 0.03 μB/f.u. The formation energy is 1.33 kcal/mol of atoms. The total energy is -35.26 eV per atom.

a = 2.942 Å, b = 2.942 Å, c = 6.468 Å
α = 90.00°, β = 90.00°, γ = 90.00°
Element x y z (fractional)
Cr1 0.500 0.500 0.199
Cr2 0.000 0.000 0.030
Ir1 0.500 0.500 0.782
In1 0.000 0.000 0.489

---

14.
ZrCrInIr2 | SCAN | PBEsol geometry

Summary:
For the total magnetization, the calculation gives 4.40 μB/f.u. The formation energy is 28.62 kcal/mol of atoms. The total energy is -43.69 eV per atom.

a = 4.627 Å, b = 4.774 Å, c = 4.774 Å
α = 90.00°, β = 90.00°, γ = 90.00°
Element x y z (fractional)
In1 0.000 0.000 0.000
Zr1 0.500 0.500 0.500
Ir1 0.000 0.500 0.000
Ir2 0.000 0.000 0.500
Cr1 0.500 0.000 0.000

---

15.
KCrIn | SCAN | PBEsol geometry

Summary:
For the total magnetization, the calculation gives 4.11 μB/f.u. The formation energy is 5.22 kcal/mol of atoms. The total energy is -19.81 eV per atom.

a = 3.147 Å, b = 4.403 Å, c = 6.716 Å
α = 109.14°, β = 103.55°, γ = 90.00°
Element x y z (fractional)
In1 0.608 0.608 0.217
K1 0.330 0.330 0.660
Cr1 0.062 0.062 0.124

---

16.
KCrIn | SCAN | PBEsol geometry

Summary:
For the total magnetization, the calculation gives 4.96 μB/f.u. The formation energy is 13.41 kcal/mol of atoms. The total energy is -19.45 eV per atom.

a = 5.075 Å, b = 5.075 Å, c = 5.075 Å
α = 60.00°, β = 60.00°, γ = 60.00°
Element x y z (fractional)
In1 0.000 0.000 0.000
Cr1 0.250 0.250 0.250
K1 0.500 0.500 0.500

---

17.
KCr2InRu | SCAN | PBEsol geometry

Summary:
For the total magnetization, the calculation gives 9.21 μB/f.u. The formation energy is 47.56 kcal/mol of atoms. The total energy is -20.60 eV per atom.

a = 4.553 Å, b = 4.808 Å, c = 4.808 Å
α = 90.00°, β = 90.00°, γ = 90.00°
Element x y z (fractional)
K1 0.000 0.000 0.000
In1 0.500 0.500 0.500
Cr1 0.000 0.500 0.000
Cr2 0.000 0.000 0.500
Ru1 0.500 0.000 0.000

---

18.
La2CrIn | SCAN | PBEsol geometry

Summary:
For the total magnetization, the calculation gives 3.78 μB/f.u. The formation energy is -5.23 kcal/mol of atoms. The total energy is -34.72 eV per atom.

a = 3.863 Å, b = 3.863 Å, c = 7.302 Å
α = 90.00°, β = 90.00°, γ = 90.02°
Element x y z (fractional)
La1 0.000 0.000 0.265
La2 0.000 0.000 0.735
Cr1 0.500 0.500 0.500
In1 0.500 0.500 0.000

---

19.
La3CrIn | SCAN | PBEsol geometry

Summary:
For the total magnetization, the calculation gives 0.00 μB/f.u. The formation energy is 0.56 kcal/mol of atoms. The total energy is -36.19 eV per atom.

a = 5.186 Å, b = 5.186 Å, c = 5.186 Å
α = 90.00°, β = 90.00°, γ = 90.00°
Element x y z (fractional)
Cr1 0.000 0.000 0.000
La1 0.000 0.500 0.000
La2 0.500 0.000 0.000
La3 0.000 0.000 0.500
In1 0.500 0.500 0.500

---

20.
LaCr2In | SCAN | PBEsol geometry

Summary:
For the total magnetization, the calculation gives 0.76 μB/f.u. The formation energy is 4.62 kcal/mol of atoms. The total energy is -28.11 eV per atom.

a = 3.141 Å, b = 4.902 Å, c = 5.911 Å
α = 114.50°, β = 105.41°, γ = 90.00°
Element x y z (fractional)
Cr1 0.048 0.048 0.096
Cr2 0.721 0.221 0.442
In1 0.471 0.471 0.943
La1 0.260 0.760 0.519

---

21.
LaCr2In | SCAN | PBEsol geometry

Summary:
For the total magnetization, the calculation gives 0.10 μB/f.u. The formation energy is -1.83 kcal/mol of atoms. The total energy is -28.39 eV per atom.

a = 4.962 Å, b = 4.962 Å, c = 4.962 Å
α = 60.00°, β = 60.00°, γ = 60.00°
Element x y z (fractional)
In1 0.500 0.500 0.500
Cr1 0.750 0.750 0.750
Cr2 0.000 0.000 0.000
La1 0.250 0.250 0.250

---

22.
LiCr4InS8 | SCAN | PBEsol geometry

Summary:
For the total magnetization, the calculation gives 12.00 μB/f.u. The total energy is -14.33 eV per atom. The calculation puts the energy relative to the elements, uncorrected at -1.0187 eV per atom.

a = 6.975 Å, b = 6.975 Å, c = 7.230 Å
α = 61.16°, β = 61.16°, γ = 60.00°
Element x y z (fractional)
Cr1 0.997 0.997 0.496
Cr2 0.372 0.372 0.884
Cr3 0.509 0.997 0.496
Cr4 0.997 0.509 0.496
S1 0.254 0.770 0.721
S2 0.770 0.254 0.721
S3 0.743 0.229 0.286
S4 0.229 0.743 0.286
S5 0.743 0.743 0.286
S6 0.241 0.241 0.277
S7 0.764 0.764 0.708
S8 0.254 0.254 0.721
Li1 0.632 0.632 0.105
In1 0.995 0.995 0.016

---

23.
MgCrIn | SCAN | PBEsol geometry

Summary:
For the total magnetization, the calculation gives 4.00 μB/f.u. The formation energy is 1.88 kcal/mol of atoms. The total energy is -18.83 eV per atom.

a = 3.035 Å, b = 4.647 Å, c = 4.647 Å
α = 120.00°, β = 90.00°, γ = 90.00°
Element x y z (fractional)
In1 0.672 0.333 0.667
Cr1 0.977 0.000 0.000
Mg1 0.351 0.667 0.333

---

24.
Mg2CrInPt | SCAN | PBEsol geometry

Summary:
For the total magnetization, the calculation gives 4.89 μB/f.u. The formation energy is 15.00 kcal/mol of atoms. The total energy is -25.73 eV per atom.

a = 4.939 Å, b = 5.094 Å, c = 5.094 Å
α = 90.00°, β = 90.00°, γ = 90.00°
Element x y z (fractional)
Cr1 0.500 0.500 0.500
Pt1 0.500 0.000 0.000
In1 0.000 0.000 0.000
Mg1 0.000 0.500 0.000
Mg2 0.000 0.000 0.500

---

25.
MgCrInS4 | SCAN | PBEsol geometry

Summary:
For the total magnetization, the calculation gives 3.00 μB/f.u. The total energy is -14.73 eV per atom. The calculation puts the energy relative to the elements, uncorrected at -1.1223 eV per atom.

a = 7.249 Å, b = 7.391 Å, c = 7.391 Å
α = 59.93°, β = 60.64°, γ = 60.64°
Element x y z (fractional)
S1 0.252 0.216 0.280
S2 0.768 0.227 0.727
S3 0.232 0.773 0.273
S4 0.748 0.220 0.284
S5 0.748 0.784 0.720
S6 0.252 0.780 0.716
S7 0.721 0.773 0.273
S8 0.279 0.227 0.727
Mg1 0.875 0.375 0.875
Mg2 0.125 0.625 0.125
Cr1 0.000 0.000 0.500
Cr2 0.500 0.000 0.500
In1 0.500 0.500 0.500
In2 0.500 0.000 0.000

---

26.
MgZnCrIn2 | SCAN | PBEsol geometry

Summary:
For the total magnetization, the calculation gives 4.89 μB/f.u. The formation energy is 11.11 kcal/mol of atoms. The total energy is -20.25 eV per atom.

a = 4.917 Å, b = 5.026 Å, c = 5.026 Å
α = 90.00°, β = 90.00°, γ = 90.00°
Element x y z (fractional)
Zn1 0.000 0.000 0.000
Cr1 0.500 0.500 0.500
In1 0.000 0.500 0.000
In2 0.000 0.000 0.500
Mg1 0.500 0.000 0.000

---

27.
MnCr2In | SCAN | PBEsol geometry

Summary:
For the total magnetization, the calculation gives 3.73 μB/f.u. The formation energy is 1.63 kcal/mol of atoms. The total energy is -22.03 eV per atom.

a = 4.263 Å, b = 4.263 Å, c = 4.263 Å
α = 60.00°, β = 60.00°, γ = 60.00°
Element x y z (fractional)
Mn1 0.750 0.750 0.750
Cr1 0.250 0.250 0.250
Cr2 0.000 0.000 0.000
In1 0.500 0.500 0.500

---

28.
Mn2CrIn | SCAN | PBEsol geometry

Summary:
For the total magnetization, the calculation gives 3.26 μB/f.u. The formation energy is -0.89 kcal/mol of atoms. The total energy is -22.11 eV per atom.

a = 3.742 Å, b = 4.830 Å, c = 3.742 Å
α = 67.21°, β = 90.00°, γ = 112.79°
Element x y z (fractional)
Mn1 0.250 0.500 0.250
Mn2 0.000 0.000 0.000
In1 0.750 0.500 0.750
Cr1 0.500 0.000 0.500

---

29.
MnCr2In | SCAN | PBEsol geometry

Summary:
For the total magnetization, the calculation gives 3.11 μB/f.u. The formation energy is 0.85 kcal/mol of atoms. The total energy is -22.07 eV per atom.

a = 2.921 Å, b = 2.921 Å, c = 6.498 Å
α = 90.00°, β = 90.00°, γ = 90.00°
Element x y z (fractional)
Mn1 0.500 0.500 0.500
Cr1 0.000 0.000 0.705
Cr2 0.000 0.000 0.295
In1 0.500 0.500 0.000